1.
ErGaN after structural relaxation, computed with PBE.

a b c (Å): 3.3679 3.3679 9.8608
angles (deg): 99.83 99.83 90.00
With the nearest neighbours (Å) after each atom.
Positions (direct):
Er  0.3127  0.3127  0.6254  5 N 2.31-2.38
Ga  0.0752  0.0752  0.1504  1 N 2.24
N  0.8079  0.8079  0.6159  1 Ga 2.24, 5 Er 2.31-2.38
N  0.1920  0.1920  0.3841  1 Ga 2.24, 5 Er 2.31-2.38
Ga  0.9248  0.9248  0.8496  1 N 2.24
Er  0.6873  0.6873  0.3746  5 N 2.31-2.38

- Formation energy without anion corrections: -949 meV/atom
- Crystal system: tetragonal
- Magnetization: 0.00 μB per cell
- SG: I4/mmm (139)
- Electronic total energy: -37.526 eV per cell

=====

2.
KSe3S after structural relaxation, computed with PBE.

a b c (Å): 6.8536 5.5499 8.7561
angles (deg): 108.45 88.69 89.97
With the nearest neighbours (Å) after each atom.
Positions (direct):
K  0.4721  0.6326  0.6861  2 S 3.28, 4 Se 3.38-3.47
Se  0.9670  0.9899  0.4021  1 S 2.10
S  0.5633  0.0336  0.4883  1 Se 2.10
Se  0.4843  0.9117  0.2451  1 S 2.10
Se  0.9748  0.6527  0.7289  1 Se 2.32
S  0.8882  0.8679  0.1589  1 Se 2.10
Se  0.4496  0.3880  0.1978  1 Se 2.32
Se  0.4761  0.2488  0.9183  1 Se 2.32
Se  0.0019  0.5135  0.4495  1 Se 2.32
K  0.9788  0.2690  0.9611  2 S 3.28, 4 Se 3.38-3.47

- Formation energy without anion corrections: -338 meV/atom
- Crystal system: triclinic
- Magnetization: 0.00 μB per cell
- SG: P-1 (2)
- Electronic total energy: -34.736 eV per cell

=====

3.
TaTlMo after structural relaxation, computed with PBE.

a b c (Å): 7.1635 7.1635 7.1635
angles (deg): 156.74 156.74 33.13
With the nearest neighbours (Å) after each atom.
Positions (direct):
Ta  0.3398  0.3398  0.0000  4 Ta 2.89, 4 Mo 2.96, 4 Tl 3.16
Tl  0.6643  0.6643  0.0000  4 Tl 2.89, 4 Mo 3.09, 4 Ta 3.16
Mo  0.9959  0.9959  0.0000  4 Mo 2.89, 4 Ta 2.96, 4 Tl 3.09

- Formation energy: 631 meV/atom
- Crystal system: tetragonal
- Magnetization: 0.00 μB per cell
- SG: I4mm (107)
- Electronic total energy: -23.156 eV per cell

=====

4.
Pm8IrOs3Br4 after structural relaxation, computed with PBE.

a b c (Å): 8.2294 9.0972 8.2307
angles (deg): 116.93 119.99 90.00
With the nearest neighbours (Å) after each atom.
Positions (direct):
Br  0.5000  0.0000  0.0000  6 Pm 3.32-3.33
Pm  0.2722  0.3042  0.0381  2 Os 2.81, 1 Ir 2.84
Br  0.5000  0.0000  0.5000  6 Pm 3.34-3.36
Ir  0.0000  0.5000  0.0000  6 Pm 2.84-2.85
Pm  0.2341  0.6958  0.9619  2 Os 2.81, 1 Ir 2.84
Os  0.5000  0.5000  0.0000  6 Pm 2.81-2.83
Br  0.0000  0.0000  0.5000  6 Pm 3.34-3.36
Pm  0.2342  0.6958  0.4683  2 Os 2.81, 1 Ir 2.85
Pm  0.7658  0.3042  0.5317  2 Os 2.81, 1 Ir 2.85
Os  0.0000  0.5000  0.5000  6 Pm 2.81-2.83
Pm  0.2675  0.3027  0.5350  3 Os 2.83
Pm  0.7325  0.6973  0.4650  3 Os 2.83
Pm  0.7278  0.6958  0.9619  2 Os 2.81, 1 Ir 2.84
Pm  0.7659  0.3042  0.0381  2 Os 2.81, 1 Ir 2.84
Br  0.0000  0.0000  0.0000  6 Pm 3.34-3.36
Os  0.5000  0.5000  0.5000  6 Pm 2.81-2.83

- Formation energy without anion corrections: -751 meV/atom
- Crystal system: trigonal
- Magnetization: 0.00 μB per cell
- SG: R-3m (166)
- Electronic total energy: -99.270 eV per cell